(1)
{
  "formula": "Pt3PbC",
  "functional": "PBE",
  "state": "relaxed",
  "lattice_angstrom": [[4.3481, 0.0000, 0.0000], [0.0000, 4.3481, 0.0000], [0.0000, 0.0000, 4.3481]],
  "species": ["Pt", "Pt", "Pt", "Pb", "C"],
  "frac_coords": [[0.0000, 0.0000, 0.5000], [0.0000, 0.5000, 0.0000], [0.5000, 0.0000, 0.0000], [0.5000, 0.5000, 0.5000], [0.0000, 0.0000, 0.0000]],
  "spacegroup": "Pm-3m",
  "rho_g_cm3": 16.250,
  "de_polymorph_mev_per_atom": 0.0
}

***

(2)
{
  "formula": "PtPbC3",
  "functional": "PBE",
  "state": "relaxed",
  "lattice_angstrom": [[4.1436, 0.0000, 0.0000], [0.0000, 4.1436, 0.0000], [0.0000, 0.0000, 4.1436]],
  "species": ["Pt", "Pb", "C", "C", "C"],
  "frac_coords": [[0.0000, 0.0000, 0.0000], [0.5000, 0.5000, 0.5000], [0.0000, 0.0000, 0.5000], [0.0000, 0.5000, 0.0000], [0.5000, 0.0000, 0.0000]],
  "spacegroup": "Pm-3m",
  "rho_g_cm3": 10.231,
  "de_polymorph_mev_per_atom": 0.0
}

***

(3)
{
  "formula": "PtPbC2",
  "functional": "PBE",
  "state": "relaxed",
  "lattice_angstrom": [[-2.6127, 2.6127, 4.9403], [2.6127, -2.6127, 4.9403], [2.6127, 2.6127, -4.9403]],
  "species": ["Pt", "Pt", "Pb", "Pb", "C", "C", "C", "C"],
  "frac_coords": [[0.0000, 0.0000, 0.0000], [0.7500, 0.2500, 0.5000], [0.2500, 0.7500, 0.5000], [0.5000, 0.5000, 0.0000], [0.0509, 0.6250, 0.9259], [0.3750, 0.3009, 0.4259], [0.6991, 0.1250, 0.0741], [0.8750, 0.9491, 0.5741]],
  "spacegroup": "I-42d",
  "rho_g_cm3": 10.495,
  "e_tot_ev_per_atom": -5.7386
}

***

(4)
{
  "formula": "PtPb3C",
  "functional": "PBE",
  "state": "relaxed",
  "lattice_angstrom": [[4.8847, 0.0000, 0.0000], [0.0000, 4.8847, 0.0000], [0.0000, 0.0000, 4.8847]],
  "species": ["Pt", "Pb", "Pb", "Pb", "C"],
  "frac_coords": [[0.0000, 0.0000, 0.0000], [0.0000, 0.5000, 0.5000], [0.5000, 0.0000, 0.5000], [0.5000, 0.5000, 0.0000], [0.5000, 0.5000, 0.5000]],
  "spacegroup": "Pm-3m",
  "rho_g_cm3": 11.807,
  "de_polymorph_mev_per_atom": 0.0
}

***

(5)
{
  "formula": "PtPb3C",
  "functional": "PBE",
  "state": "relaxed",
  "lattice_angstrom": [[5.3821, 0.0000, 0.0000], [0.0000, 5.3821, 0.0000], [0.0000, 0.0000, 5.3821]],
  "species": ["Pt", "Pb", "Pb", "Pb", "C"],
  "frac_coords": [[0.0000, 0.0000, 0.0000], [0.0000, 0.0000, 0.5000], [0.0000, 0.5000, 0.0000], [0.5000, 0.0000, 0.0000], [0.5000, 0.5000, 0.5000]],
  "spacegroup": "Pm-3m",
  "rho_g_cm3": 8.826,
  "de_polymorph_mev_per_atom": 421.7
}

***

(6)
{
  "formula": "Pt2PbC",
  "functional": "PBE",
  "state": "relaxed",
  "lattice_angstrom": [[0.0000, 3.2108, 3.2108], [3.2108, 0.0000, 3.2108], [3.2108, 3.2108, 0.0000]],
  "species": ["Pt", "Pt", "Pb", "C"],
  "frac_coords": [[0.2500, 0.2500, 0.2500], [0.7500, 0.7500, 0.7500], [0.0000, 0.0000, 0.0000], [0.5000, 0.5000, 0.5000]],
  "spacegroup": "Fm-3m",
  "rho_g_cm3": 15.286,
  "de_polymorph_mev_per_atom": 996.4
}

***

(7)
{
  "formula": "PtPbC3",
  "functional": "PBE",
  "state": "relaxed",
  "lattice_angstrom": [[4.3755, 0.0000, 0.0000], [0.0000, 4.3755, 0.0000], [0.0000, 0.0000, 4.3755]],
  "species": ["Pt", "Pb", "C", "C", "C"],
  "frac_coords": [[0.0000, 0.0000, 0.0000], [0.5000, 0.5000, 0.5000], [0.0000, 0.5000, 0.5000], [0.5000, 0.0000, 0.5000], [0.5000, 0.5000, 0.0000]],
  "spacegroup": "Pm-3m",
  "rho_g_cm3": 8.689,
  "de_polymorph_mev_per_atom": 1342.7
}

***

(8)
{
  "formula": "RbPtPbC2",
  "functional": "PBE",
  "state": "relaxed",
  "lattice_angstrom": [[4.2558, 0.0000, 0.0000], [0.0000, 4.2558, 0.0000], [0.0000, 0.0000, 5.8793]],
  "species": ["Rb", "Pt", "Pb", "C", "C"],
  "frac_coords": [[0.0000, 0.0000, 0.0000], [0.5000, 0.5000, 0.5000], [0.5000, 0.5000, 0.0000], [0.0000, 0.5000, 0.5000], [0.5000, 0.0000, 0.5000]],
  "spacegroup": "P4/mmm",
  "rho_g_cm3": 7.981,
  "e_tot_ev_per_atom": -4.0707
}

***

(9)
{
  "formula": "RePtPbC2",
  "functional": "PBE",
  "state": "relaxed",
  "lattice_angstrom": [[4.0143, 0.0000, 0.0000], [0.0000, 4.0143, 0.0000], [0.0000, 0.0000, 5.3739]],
  "species": ["Re", "Pt", "Pb", "C", "C"],
  "frac_coords": [[0.0000, 0.0000, 0.0000], [0.0000, 0.0000, 0.5000], [0.5000, 0.5000, 0.5000], [0.0000, 0.5000, 0.0000], [0.5000, 0.0000, 0.0000]],
  "spacegroup": "P4/mmm",
  "rho_g_cm3": 11.745,
  "e_tot_ev_per_atom": -7.0369
}

***

(10)
{
  "formula": "Sc6PtPb2C",
  "functional": "PBE",
  "state": "relaxed",
  "lattice_angstrom": [[4.8443, 0.0000, 0.0000], [0.0000, 4.8443, 0.0000], [0.0000, 0.0000, 9.7444]],
  "species": ["Sc", "Sc", "Sc", "Sc", "Sc", "Sc", "Pt", "Pb", "Pb", "C"],
  "frac_coords": [[0.0000, 0.0000, 0.2260], [0.0000, 0.0000, 0.7740], [0.0000, 0.5000, 0.0000], [0.0000, 0.5000, 0.5000], [0.5000, 0.0000, 0.0000], [0.5000, 0.0000, 0.5000], [0.0000, 0.0000, 0.5000], [0.5000, 0.5000, 0.2340], [0.5000, 0.5000, 0.7660], [0.0000, 0.0000, 0.0000]],
  "spacegroup": "P4/mmm",
  "rho_g_cm3": 6.472,
  "e_tot_ev_per_atom": -6.5634
}

***

(11)
{
  "formula": "Sn2PtPbC",
  "functional": "PBE",
  "state": "relaxed",
  "lattice_angstrom": [[5.1192, 0.0000, 0.0000], [0.0000, 5.1192, 0.0000], [0.0000, 0.0000, 5.6010]],
  "species": ["Sn", "Sn", "Pt", "Pb", "C"],
  "frac_coords": [[0.0000, 0.5000, 0.0000], [0.5000, 0.0000, 0.0000], [0.0000, 0.0000, 0.0000], [0.0000, 0.0000, 0.5000], [0.5000, 0.5000, 0.5000]],
  "spacegroup": "P4/mmm",
  "rho_g_cm3": 7.373,
  "e_tot_ev_per_atom": -4.0591
}

***

(12)
{
  "formula": "Sr2PtPbC",
  "functional": "PBE",
  "state": "relaxed",
  "lattice_angstrom": [[5.7614, 0.0000, 0.0000], [0.0000, 5.7614, 0.0000], [0.0000, 0.0000, 3.8840]],
  "species": ["Sr", "Sr", "Pt", "Pb", "C"],
  "frac_coords": [[0.0000, 0.5000, 0.0000], [0.5000, 0.0000, 0.0000], [0.0000, 0.0000, 0.5000], [0.5000, 0.5000, 0.5000], [0.0000, 0.0000, 0.0000]],
  "spacegroup": "P4/mmm",
  "rho_g_cm3": 7.593,
  "e_tot_ev_per_atom": -4.7762
}